Entry P
{"formula": "TlAg2Sn2", "functional": "GGA-PBEsol", "state": "optimized geometry", "dos_ef_per_ev_cell": 3.40, "volume_a3_per_cell": 229.5, "lattice": [[8.686, 0.000, 0.000], [0.000, 8.686, 0.000], [0.000, 0.000, 3.042]], "species": ["Tl", "Tl", "Ag", "Ag", "Ag", "Ag", "Sn", "Sn", "Sn", "Sn"], "frac_coords": [[0.000, 0.000, 0.000], [0.500, 0.500, 0.000], [0.154, 0.346, 0.500], [0.346, 0.846, 0.500], [0.654, 0.154, 0.500], [0.846, 0.654, 0.500], [0.141, 0.641, 0.000], [0.359, 0.141, 0.000], [0.641, 0.859, 0.000], [0.859, 0.359, 0.000]]}

---

Entry Q
{"formula": "TlAg2Sn2", "functional": "GGA-PBEsol", "state": "optimized geometry", "dos_ef_per_ev_cell": 3.80, "volume_a3_per_cell": 239.1, "lattice": [[4.315, 0.000, 0.000], [0.000, 4.315, 0.000], [0.000, 0.000, 12.841]], "species": ["Tl", "Tl", "Ag", "Ag", "Ag", "Ag", "Sn", "Sn", "Sn", "Sn"], "frac_coords": [[0.000, 0.000, 0.000], [0.500, 0.500, 0.500], [0.000, 0.500, 0.250], [0.000, 0.500, 0.750], [0.500, 0.000, 0.250], [0.500, 0.000, 0.750], [0.000, 0.000, 0.387], [0.000, 0.000, 0.613], [0.500, 0.500, 0.113], [0.500, 0.500, 0.887]]}

---

Preferred: entry P; penalty for the next structure: 15 meV per atom.

---

Entry P
{"formula": "Zn2Ag2Sn", "functional": "GGA-PBEsol", "state": "optimized geometry", "dos_ef_per_ev_cell": 3.85, "volume_a3_per_cell": 175.4, "lattice": [[7.787, 0.000, 0.000], [0.000, 7.787, 0.000], [0.000, 0.000, 2.892]], "species": ["Zn", "Zn", "Zn", "Zn", "Ag", "Ag", "Ag", "Ag", "Sn", "Sn"], "frac_coords": [[0.167, 0.333, 0.000], [0.333, 0.833, 0.000], [0.667, 0.167, 0.000], [0.833, 0.667, 0.000], [0.130, 0.630, 0.500], [0.370, 0.130, 0.500], [0.630, 0.870, 0.500], [0.870, 0.370, 0.500], [0.000, 0.000, 0.500], [0.500, 0.500, 0.500]]}

---

Entry Q
{"formula": "Zn2Ag2Sn", "functional": "GGA-PBEsol", "state": "optimized geometry", "dos_ef_per_ev_cell": 3.51, "volume_a3_per_cell": 181.2, "lattice": [[3.659, 0.000, 0.000], [0.000, 3.659, 0.000], [0.000, 0.000, 13.533]], "species": ["Zn", "Zn", "Zn", "Zn", "Ag", "Ag", "Ag", "Ag", "Sn", "Sn"], "frac_coords": [[0.000, 0.500, 0.250], [0.000, 0.500, 0.750], [0.500, 0.000, 0.250], [0.500, 0.000, 0.750], [0.000, 0.000, 0.106], [0.000, 0.000, 0.894], [0.500, 0.500, 0.394], [0.500, 0.500, 0.606], [0.000, 0.000, 0.500], [0.500, 0.500, 0.000]]}

---

Preferred: entry P; penalty for the next structure: 26 meV per atom.

---

Entry P
{"formula": "SrAg2W", "functional": "GGA-PBEsol", "state": "optimized geometry", "dos_ef_per_ev_cell": 10.40, "volume_a3_per_cell": 228.9, "lattice": [[2.939, 0.000, 0.000], [-1.469, 2.545, 0.000], [0.000, 0.000, 30.600]], "species": ["Sr", "Sr", "Sr", "Ag", "Ag", "Ag", "Ag", "Ag", "Ag", "W", "W", "W"], "frac_coords": [[0.000, 0.000, 0.000], [0.333, 0.667, 0.667], [0.667, 0.333, 0.333], [0.000, 0.000, 0.242], [0.000, 0.000, 0.758], [0.333, 0.667, 0.424], [0.333, 0.667, 0.909], [0.667, 0.333, 0.091], [0.667, 0.333, 0.576], [0.000, 0.000, 0.500], [0.333, 0.667, 0.167], [0.667, 0.333, 0.833]]}

---

Entry Q
{"formula": "SrAg2W", "functional": "GGA-PBEsol", "state": "optimized geometry", "dos_ef_per_ev_cell": 2.69, "volume_a3_per_cell": 79.1, "lattice": [[2.820, 0.000, 0.000], [0.000, 4.810, 0.000], [-1.400, 0.000, 5.831]], "species": ["Sr", "Ag", "Ag", "W"], "frac_coords": [[0.000, 0.000, 0.000], [0.251, 0.000, 0.497], [0.386, 0.500, 0.773], [0.677, 0.500, 0.351]]}

---

Entry R
{"formula": "SrAg2W", "functional": "GGA-PBEsol", "state": "optimized geometry", "dos_ef_per_ev_cell": 3.74, "volume_a3_per_cell": 81.0, "lattice": [[2.838, 0.000, 0.000], [0.000, 4.094, 0.000], [0.000, 0.000, 6.972]], "species": ["Sr", "Ag", "Ag", "W"], "frac_coords": [[0.000, 0.000, 0.000], [0.500, 0.500, 0.304], [0.500, 0.500, 0.696], [0.000, 0.000, 0.500]]}

---

Entry S
{"formula": "SrAg2W", "functional": "GGA-PBEsol", "state": "optimized geometry", "dos_ef_per_ev_cell": 3.08, "volume_a3_per_cell": 81.6, "lattice": [[2.861, 0.000, 0.000], [0.000, 4.133, 0.000], [0.000, 0.000, 6.903]], "species": ["Sr", "Ag", "Ag", "W"], "frac_coords": [[0.000, 0.000, 0.000], [0.000, 0.000, 0.493], [0.500, 0.500, 0.711], [0.500, 0.500, 0.315]]}

---

Preferred: entry R; penalty for the next structure: 60 meV per atom.